The following is a DFT calculation (PBE) of Ta2RhW after structural relaxation.

The calculated formation energy is -0.084 eV/atom. Its calculated total energy is -44.3 eV for the cell shown. As for the total moment: 0.00 μB/f.u.

The space group is P4mm (No. 99) and the conventional cell measures 3.2495, 3.2495 and 6.3377 Å, with angles of 90.00, 90.00 and 90.00 degrees. The distinct sites, in fractional coordinates, are Ta at (0.0000, 0.0000, 0.0000), Ta at (0.5000, 0.5000, 0.2646), Rh at (0.5000, 0.5000, 0.7601) and W at (0.0000, 0.0000, 0.5017).